Entry 1:
Density functional theory data (PBE-GGA) for AcPr9In2 after structural relaxation.

a = 5.0901 Å, b = 5.0901 Å, c = 15.6371 Å
α = 90.00°, β = 90.00°, γ = 90.00°
Space group P4/mmm (No. 123)
Inequivalent atoms, fractional coordinates:
Ac1 0.0000 0.0000 0.0000 (multiplicity 1)
Pr1 0.0000 0.5000 0.1793 (multiplicity 4)
Pr2 0.0000 0.5000 0.5000 (multiplicity 2)
Pr3 0.5000 0.5000 0.0000 (multiplicity 1)
Pr4 0.5000 0.5000 0.3422 (multiplicity 2)
In1 0.0000 0.0000 0.3398 (multiplicity 2)

=====

Entry 2:
Density functional theory data (PBE-GGA) for Cs3Ba2US6 after structural relaxation.

a = 7.7737 Å, b = 13.4285 Å, c = 8.4219 Å
α = 90.00°, β = 107.93°, γ = 90.00°
Space group C2/m (No. 12)
Inequivalent atoms, fractional coordinates:
Cs1 0.0000 0.0000 0.0000 (multiplicity 2)
Cs2 0.0000 0.3294 0.0000 (multiplicity 4)
Ba1 0.0000 0.1663 0.5000 (multiplicity 4)
U1 0.0000 0.5000 0.5000 (multiplicity 2)
S1 0.2049 0.3580 0.6886 (multiplicity 8)
S2 0.2190 0.5000 0.3096 (multiplicity 4)

Results
The formation energy from raw total energies comes out at -1610 meV/atom.

=====

Across the entries above, total energy takes the values -4.547, -5.148 eV per atom, respectively.